Entry 1:
Here is a relaxed structure of Sr2CaAu from Alexandria. Energies are from GGA-PBE.

## Properties
formation energy: -0.14 eV per atom
total DFT energy (no corrections): -9.21 eV for the cell shown
symmetry: I-4m2

```
Sr2CaAu
1.0
-2.486 2.486 5.833
2.486 -2.486 5.833
2.486 2.486 -5.833
Sr Ca Au
2 1 1
direct
0.000 0.000 0.000
0.750 0.250 0.500
0.500 0.500 0.000
0.250 0.750 0.500
```

***

Entry 2:
Here is a relaxed structure of PaV2Pt from Alexandria. Energies are from GGA-PBE.

## Properties
formation energy: -0.12 eV per atom
total DFT energy (no corrections): -34.24 eV for the cell shown
symmetry: R-3m

```
PaV2Pt
1.0
2.221 1.282 3.853
-2.221 1.282 3.853
0.000 -2.565 3.853
Pa V Pt
1 2 1
direct
0.000 0.000 0.000
0.263 0.263 0.263
0.737 0.737 0.737
0.500 0.500 0.500
```

***

Entry 3:
Here is a relaxed structure of Be3In from Alexandria. Energies are from GGA-PBE.

## Properties
formation energy: 0.28 eV per atom
total DFT energy (no corrections): -25.63 eV for the cell shown
symmetry: P1

```
Be3In
1.0
3.612 0.000 0.000
0.536 5.157 0.000
1.772 -0.093 5.501
Be In
6 2
direct
0.000 0.000 0.000
0.040 0.611 0.998
0.217 0.806 0.606
0.422 0.808 0.193
0.617 0.805 0.806
0.823 0.804 0.393
0.379 0.310 0.280
0.665 0.303 0.719
```

***

Entry 4:
Here is a relaxed structure of CdIn2Ag from Alexandria. Energies are from GGA-PBE.

## Properties
formation energy: 0.12 eV per atom
total DFT energy (no corrections): -17.56 eV for the cell shown
symmetry: I-42d

```
CdIn2Ag
1.0
-4.118 4.118 2.993
4.118 -4.118 2.993
4.118 4.118 -2.993
Cd In Ag
2 4 2
direct
0.000 0.000 0.000
0.750 0.250 0.500
0.149 0.625 0.024
0.375 0.399 0.524
0.601 0.125 0.976
0.875 0.851 0.476
0.250 0.750 0.500
0.500 0.500 0.000
```

***

Entry 5:
Here is a relaxed structure of Pr2Sm2Sc from Alexandria. Energies are from GGA-PBE.

## Properties
formation energy: 0.19 eV per atom
total DFT energy (no corrections): -48.76 eV for the cell shown
symmetry: Imma

```
Pr2Sm2Sc
1.0
-1.783 2.874 16.154
1.783 -2.874 16.154
1.783 2.874 -16.154
Pr Sm Sc
4 4 2
direct
0.044 0.294 0.750
0.437 0.187 0.250
0.563 0.813 0.750
0.956 0.706 0.250
0.135 0.885 0.250
0.231 0.981 0.250
0.769 0.019 0.750
0.865 0.115 0.750
0.324 0.574 0.750
0.676 0.426 0.250
```

***

Entry 6:
Here is a relaxed structure of PaFeN from Alexandria. Energies are from GGA-PBE.

## Properties
total DFT energy (no corrections): -27.19 eV for the cell shown
symmetry: I4mm
energy relative to the elements, uncorrected: -0.30 eV/atom

```
PaFeN
1.0
-1.987 1.987 2.978
1.987 -1.987 2.978
1.987 1.987 -2.978
Pa Fe N
1 1 1
direct
0.000 0.000 0.000
0.349 0.349 0.000
0.645 0.645 0.000
```

***

Entry 7:
Here is a relaxed structure of SrAcCuIr from Alexandria. Energies are from GGA-PBE.

## Properties
formation energy: -0.31 eV per atom
total DFT energy (no corrections): -19.99 eV for the cell shown
symmetry: R3m

```
SrAcCuIr
1.0
2.191 1.265 7.703
-2.191 1.265 7.703
0.000 -2.530 7.703
Sr Ac Cu Ir
1 1 1 1
direct
0.000 0.000 0.000
0.166 0.166 0.166
0.417 0.417 0.417
0.758 0.758 0.758
```

***

Entry 8:
Here is a relaxed structure of LiOsRh2 from Alexandria. Energies are from GGA-PBE.

## Properties
formation energy: -0.01 eV per atom
total DFT energy (no corrections): -27.90 eV for the cell shown
symmetry: Cm

```
LiOsRh2
1.0
4.474 -1.351 0.000
4.474 1.351 0.000
-0.747 0.000 4.563
Li Os Rh
1 1 2
direct
0.000 0.000 0.000
0.763 0.763 0.312
0.248 0.248 0.824
0.507 0.507 0.495
```

***

Entry 9:
Here is a relaxed structure of NdDy2Er from Alexandria. Energies are from GGA-PBE.

## Properties
formation energy: 0.02 eV per atom
total DFT energy (no corrections): -18.45 eV for the cell shown
symmetry: R-3m

```
NdDy2Er
1.0
1.785 1.030 11.625
-1.785 1.030 11.625
0.000 -2.061 11.625
Nd Dy Er
1 2 1
direct
0.000 0.000 0.000
0.248 0.248 0.248
0.752 0.752 0.752
0.500 0.500 0.500
```

***

Entry 10:
Here is a relaxed structure of BaCaSe2 from Alexandria. Energies are from GGA-PBE.

## Properties
total DFT energy (no corrections): -17.76 eV for the cell shown
symmetry: Fm-3m
energy relative to the elements, uncorrected: -1.72 eV/atom

```
BaCaSe2
1.0
0.000 3.849 3.849
3.849 0.000 3.849
3.849 3.849 0.000
Ba Ca Se
1 1 2
direct
0.000 0.000 0.000
0.500 0.500 0.500
0.250 0.250 0.250
0.750 0.750 0.750
```

***

Entry 11:
Here is a relaxed structure of Pm4SiAg2 from Alexandria. Energies are from GGA-PBE.

## Properties
total DFT energy (no corrections): -31.59 eV for the cell shown
symmetry: R-3m
energy relative to the elements, uncorrected: -0.21 eV/atom

```
Pm4SiAg2
1.0
2.598 1.500 8.385
-2.598 1.500 8.385
0.000 -2.999 8.385
Pm Si Ag
4 1 2
direct
0.123 0.123 0.123
0.374 0.374 0.374
0.626 0.626 0.626
0.877 0.877 0.877
0.000 0.000 0.000
0.248 0.248 0.248
0.752 0.752 0.752
```

***

Entry 12:
Here is a relaxed structure of Sr3Pr3HoS8 from Alexandria. Energies are from GGA-PBE.

## Properties
total DFT energy (no corrections): -88.11 eV for the cell shown
symmetry: R-3m
energy relative to the elements, uncorrected: -2.08 eV/atom

```
Sr3Pr3HoS8
1.0
4.121 2.379 6.935
-4.121 2.379 6.935
0.000 -4.758 6.935
Sr Pr Ho S
3 3 1 8
direct
0.000 0.500 0.500
0.500 0.000 0.500
0.500 0.500 0.000
0.000 0.000 0.500
0.000 0.500 0.000
0.500 0.000 0.000
0.500 0.500 0.500
0.248 0.248 0.248
0.257 0.735 0.735
0.265 0.265 0.743
0.265 0.743 0.265
0.735 0.257 0.735
0.735 0.735 0.257
0.743 0.265 0.265
0.752 0.752 0.752
```

***

Entry 13:
Here is a relaxed structure of KAs2Au from Alexandria. Energies are from GGA-PBE.

## Properties
formation energy: 0.22 eV per atom
total DFT energy (no corrections): -12.80 eV for the cell shown
symmetry: P4/mmm

```
KAs2Au
1.0
4.428 0.000 0.000
0.000 4.428 0.000
0.000 0.000 4.510
K As Au
1 2 1
direct
0.000 0.000 0.000
0.000 0.500 0.500
0.500 0.000 0.500
0.500 0.500 0.000
```

***

no.,density (Mg/m³)
1,4.75
2,13.32
3,4.60
4,7.36
5,6.30
6,10.62
7,7.39
8,12.13
9,8.24
10,4.88
11,6.98
12,4.51
13,7.25